DFT (GGA-PBE) results for TmZrF7 after structural relaxation.

The structure in POSCAR format:
```
TmZrF7
1.0
-1.6909 5.4118 1.2052
-1.4894 0.8236 -5.7880
-7.8885 -2.3966 -0.3061
F Zr Tm
14 2 2
direct
0.9642 0.4127 0.2082
0.9666 0.0779 0.7557
0.4454 0.4936 0.5026
0.7026 0.2317 0.9735
0.4642 0.5873 0.7918
0.7041 0.1356 0.4776
0.4446 0.4148 0.2082
0.2026 0.7683 0.0265
0.4666 0.9221 0.2443
0.4437 0.0735 0.7579
0.9454 0.5064 0.4974
0.9446 0.5852 0.7918
0.2041 0.8644 0.5224
0.9437 0.9265 0.2421
0.2032 0.8198 0.7738
0.7032 0.1802 0.2262
0.2020 0.6490 0.3129
0.7020 0.3510 0.6871
```

Summary:
- E_form (uncorrected) (meV/atom) = -3916
- DOS at the Fermi energy (states/eV/cell) = 0.00

DFT (GGA-PBE) results for TmZrF after structural relaxation.

The structure in POSCAR format:
```
TmZrF
1.0
0.0632 6.0039 0.5181
-0.6114 4.8729 3.4928
6.1053 10.4674 5.3640
Tm F Zr
2 2 2
direct
0.1081 0.1081 0.8040
0.1046 0.1046 0.5286
0.3145 0.3145 0.5053
0.4785 0.4785 0.7706
0.5738 0.5738 0.0473
0.6800 0.6800 0.2662
```

Summary:
- E_form (uncorrected) (meV/atom) = -1389
- DOS at the Fermi energy (states/eV/cell) = 1.85

DFT (GGA-PBE) results for UF3 after structural relaxation.

The structure in POSCAR format:
```
UF3
1.0
-1.7311 1.3064 -6.8625
4.2519 -5.5701 1.6410
-5.9470 -4.3412 0.6737
U F
6 18
direct
0.3264 0.3264 0.2516
0.3264 0.0000 0.7516
0.6736 0.6736 0.7516
0.6736 0.0000 0.2516
0.0000 0.6736 0.2516
0.0000 0.3264 0.7516
0.6667 0.3333 0.2028
0.2788 0.0000 0.0783
0.3768 0.3768 0.9168
0.7212 0.0000 0.5783
0.0000 0.0000 0.8203
0.0000 0.3768 0.4168
0.0000 0.0000 0.3203
0.3333 0.6667 0.7028
0.6232 0.0000 0.9168
0.0000 0.7212 0.5783
0.6232 0.6232 0.4168
0.0000 0.6232 0.9168
0.2788 0.2788 0.5783
0.0000 0.2788 0.0783
0.6667 0.3333 0.7028
0.7212 0.7212 0.0783
0.3333 0.6667 0.2028
0.3768 0.0000 0.4168
```

Summary:
- E_form (uncorrected) (meV/atom) = -3394
- DOS at the Fermi energy (states/eV/cell) = 8.10